[1]
# Nd4Ho3Mg (GGA-PBE, optimized geometry)
# DFT formation energy ... -0.2 kcal/mol of atoms
# Energy relative to the lowest polymorph listed for this composition ... 0 meV per atom
# Volume ... 258.3 Å³/cell
# Magnetization ... 0.00 μB per atom
data_Nd4Ho3Mg
_chemical_formula_sum 'Nd4 Ho3 Mg1'
_cell_length_a 3.638
_cell_length_b 3.638
_cell_length_c 19.511
_cell_angle_alpha 90.00
_cell_angle_beta 90.00
_cell_angle_gamma 90.00
_symmetry_space_group_name_H-M 'P 4/m m m'
_symmetry_Int_Tables_number 123
_symmetry_space_group_name_Hall '-P 4 2'
loop_
_atom_site_label
_atom_site_type_symbol
_atom_site_fract_x
_atom_site_fract_y
_atom_site_fract_z
Nd1 Nd 0.000 0.000 0.114
Nd2 Nd 0.000 0.000 0.372
Ho1 Ho 0.500 0.500 0.242
Ho2 Ho 0.500 0.500 0.500
Mg1 Mg 0.500 0.500 0.000

---

[2]
# Nd6Ho5Mg2 (GGA-PBE, optimized geometry)
# DFT formation energy ... 3.0 kcal/mol of atoms
# Volume ... 854.0 Å³/cell
# Magnetization ... 0.00 μB per atom
data_Nd6Ho5Mg2
_chemical_formula_sum 'Nd12 Ho10 Mg4'
_cell_length_a 10.519
_cell_length_b 22.932
_cell_length_c 3.540
_cell_angle_alpha 90.00
_cell_angle_beta 90.00
_cell_angle_gamma 90.00
_symmetry_space_group_name_H-M 'P b a m'
_symmetry_Int_Tables_number 55
_symmetry_space_group_name_Hall '-P 2 2ab'
loop_
_atom_site_label
_atom_site_type_symbol
_atom_site_fract_x
_atom_site_fract_y
_atom_site_fract_z
Nd1 Nd 0.018 0.113 0.000
Nd2 Nd 0.147 0.383 0.000
Nd3 Nd 0.170 0.634 0.500
Ho1 Ho 0.000 0.500 0.500
Ho2 Ho 0.081 0.250 0.500
Ho3 Ho 0.165 0.994 0.500
Mg1 Mg 0.169 0.761 0.000

---

[3]
# Nd5Ho5Mg2 (GGA-PBE, optimized geometry)
# DFT formation energy ... 0.3 kcal/mol of atoms
# Volume ... 758.2 Å³/cell
# Magnetization ... 0.00 μB per atom
data_Nd5Ho5Mg2
_chemical_formula_sum 'Nd10 Ho10 Mg4'
_cell_length_a 15.207
_cell_length_b 5.069
_cell_length_c 11.061
_cell_angle_alpha 90.00
_cell_angle_beta 117.21
_cell_angle_gamma 90.00
_symmetry_space_group_name_H-M 'C 1 2/m 1'
_symmetry_Int_Tables_number 12
_symmetry_space_group_name_Hall '-C 2y'
loop_
_atom_site_label
_atom_site_type_symbol
_atom_site_fract_x
_atom_site_fract_y
_atom_site_fract_z
Nd1 Nd 0.000 0.000 0.000
Nd2 Nd 0.080 0.000 0.745
Nd3 Nd 0.248 0.500 0.741
Ho1 Ho 0.000 0.500 0.500
Ho2 Ho 0.086 0.500 0.259
Ho3 Ho 0.167 0.500 0.998
Mg1 Mg 0.167 0.000 0.499

---

[4]
# NdHoMg17 (GGA-PBE, optimized geometry)
# DFT formation energy ... -0.7 kcal/mol of atoms
# Volume ... 1384.0 Å³/cell
# Magnetization ... 0.00 μB per atom
data_NdHoMg17
_chemical_formula_sum 'Nd3 Ho3 Mg51'
_cell_length_a 10.2431
_cell_length_b 10.2431
_cell_length_c 15.2316
_cell_angle_alpha 90.00
_cell_angle_beta 90.00
_cell_angle_gamma 120.00
_symmetry_space_group_name_H-M 'R 3 m'
_symmetry_Int_Tables_number 160
_symmetry_space_group_name_Hall 'R 3 -2"'
loop_
_atom_site_label
_atom_site_type_symbol
_atom_site_fract_x
_atom_site_fract_y
_atom_site_fract_z
Nd1 Nd 0.0000 0.0000 0.0000
Ho1 Ho 0.0000 0.0000 0.6585
Mg1 Mg 0.0000 0.0000 0.2321
Mg2 Mg 0.0000 0.0000 0.4308
Mg3 Mg 0.0018 0.3033 0.3300
Mg4 Mg 0.0031 0.5016 0.8290
Mg5 Mg 0.0113 0.5057 0.4813
Mg6 Mg 0.1698 0.3396 0.5125

---

[5]
# Nd3HoMg4 (GGA-PBE, optimized geometry)
# DFT formation energy ... 3.3 kcal/mol of atoms
# Energy relative to the lowest polymorph listed for this composition ... 240 meV per atom
# Volume ... 488.0 Å³/cell
# Magnetization ... 0.00 μB per atom
data_Nd3HoMg4
_chemical_formula_sum 'Nd6 Ho2 Mg8'
_cell_length_a 3.401
_cell_length_b 8.435
_cell_length_c 17.013
_cell_angle_alpha 90.00
_cell_angle_beta 90.00
_cell_angle_gamma 90.00
_symmetry_space_group_name_H-M 'I m m m'
_symmetry_Int_Tables_number 71
_symmetry_space_group_name_Hall '-I 2 2'
loop_
_atom_site_label
_atom_site_type_symbol
_atom_site_fract_x
_atom_site_fract_y
_atom_site_fract_z
Nd1 Nd 0.000 0.000 0.000
Nd2 Nd 0.000 0.500 0.198
Ho1 Ho 0.000 0.000 0.500
Mg1 Mg 0.000 0.307 0.364

---

[6]
# Nd3Ho3Mg2 (GGA-PBE, optimized geometry)
# DFT formation energy ... 1.4 kcal/mol of atoms
# Volume ... 998.7 Å³/cell
# Magnetization ... 0.00 μB per atom
data_Nd3Ho3Mg2
_chemical_formula_sum 'Nd12 Ho12 Mg8'
_cell_length_a 5.365
_cell_length_b 11.810
_cell_length_c 15.760
_cell_angle_alpha 90.00
_cell_angle_beta 90.00
_cell_angle_gamma 90.00
_symmetry_space_group_name_H-M 'C m c m'
_symmetry_Int_Tables_number 63
_symmetry_space_group_name_Hall '-C 2c 2'
loop_
_atom_site_label
_atom_site_type_symbol
_atom_site_fract_x
_atom_site_fract_y
_atom_site_fract_z
Nd1 Nd 0.000 0.038 0.104
Nd2 Nd 0.000 0.249 0.250
Ho1 Ho 0.000 0.355 0.035
Ho2 Ho 0.000 0.476 0.750
Mg1 Mg 0.000 0.231 0.644